# 1
# PBE-GGA Y2SbTe, relaxed
# electronic total energy: -0.4358 Ry per atom
# ρ: 6.4 g/cm³
# magnetization: 0.00 μB/f.u.
data_Y2SbTe
_cell_length_a 4.433
_cell_length_b 4.433
_cell_length_c 11.272
_cell_angle_alpha 90.00
_cell_angle_beta 90.00
_cell_angle_gamma 90.00
_symmetry_space_group_name_H-M 'I -4 m 2'
_symmetry_Int_Tables_number 119
_symmetry_space_group_name_Hall 'I -4 -2'
loop_
_atom_site_label
_atom_site_type_symbol
_atom_site_fract_x
_atom_site_fract_y
_atom_site_fract_z
_atom_site_occupancy
Y1 Y 0.000 0.000 0.000 1
Y2 Y 0.000 0.500 0.250 1
Sb1 Sb 0.000 0.500 0.750 1
Te1 Te 0.000 0.000 0.500 1

---

# 2
# PBE-GGA Y2SbTe2, relaxed
# electronic total energy: -0.4045 Ry per atom
# ρ: 6.4 g/cm³
# magnetization: 0.00 μB/f.u.
data_Y2SbTe2
_cell_length_a 8.752
_cell_length_b 8.752
_cell_length_c 3.768
_cell_angle_alpha 90.00
_cell_angle_beta 90.00
_cell_angle_gamma 90.00
_symmetry_space_group_name_H-M 'P 4/m b m'
_symmetry_Int_Tables_number 127
_symmetry_space_group_name_Hall '-P 4 2ab'
loop_
_atom_site_label
_atom_site_type_symbol
_atom_site_fract_x
_atom_site_fract_y
_atom_site_fract_z
_atom_site_occupancy
Y1 Y 0.161 0.339 0.000 1
Sb1 Sb 0.000 0.000 0.500 1
Te1 Te 0.136 0.636 0.500 1

---

# 3
# PBE-GGA YSbTe2, relaxed
# electronic total energy: -0.3508 Ry per atom
# ρ: 6.4 g/cm³
# magnetization: 0.00 μB/f.u.
data_YSbTe2
_cell_length_a 11.080
_cell_length_b 3.869
_cell_length_c 5.704
_cell_angle_alpha 90.00
_cell_angle_beta 96.95
_cell_angle_gamma 90.00
_symmetry_space_group_name_H-M 'C 1 2/m 1'
_symmetry_Int_Tables_number 12
loop_
_symmetry_equiv_pos_as_xyz
'x,y,z'
'-x,-y,-z'
'-x,y,-z'
'x,-y,z'
'x+1/2,y+1/2,z'
'-x+1/2,-y+1/2,-z'
'-x+1/2,y+1/2,-z'
'x+1/2,-y+1/2,z'
loop_
_atom_site_label
_atom_site_type_symbol
_atom_site_fract_x
_atom_site_fract_y
_atom_site_fract_z
_atom_site_occupancy
Y1 Y 0.000 0.000 0.000 1
Sb1 Sb 0.000 0.500 0.500 1
Te1 Te 0.205 0.500 0.212 1

---

# 4
# PBE-GGA YSb2Te, relaxed
# electronic total energy: -0.3454 Ry per atom
# ρ: 6.2 g/cm³
# magnetization: 0.00 μB/f.u.
data_YSb2Te
_cell_length_a 3.240
_cell_length_b 3.240
_cell_length_c 11.807
_cell_angle_alpha 90.00
_cell_angle_beta 90.00
_cell_angle_gamma 90.00
_symmetry_space_group_name_H-M 'P 4/m m m'
_symmetry_Int_Tables_number 123
_symmetry_space_group_name_Hall '-P 4 2'
loop_
_atom_site_label
_atom_site_type_symbol
_atom_site_fract_x
_atom_site_fract_y
_atom_site_fract_z
_atom_site_occupancy
Y1 Y 0.000 0.000 0.000 1
Sb1 Sb 0.500 0.500 0.199 1
Te1 Te 0.000 0.000 0.500 1

---

Q: Number 4 is which compound?
A: YSb2Te